1.
FePt2Pb: optimized geometry, PBE.

Calculated values
Total DFT energy (no corrections) = -5.958 eV/atom
Volume = 69.8 Å³/cell
DOS(E_F) = 1.136 states/eV per atom
Crystal system = orthorhombic

a = 4.394 Å, b = 4.394 Å, c = 3.665 Å
α = 90.00°, β = 90.00°, γ = 99.59°
Atoms (fractional coordinates):
1 Fe 0.500 0.000 0.500
2 Pb 0.000 0.500 0.500
3 Pt 0.000 0.000 0.000
4 Pt 0.500 0.500 0.000



2.
NaAc2Au6: optimized geometry, PBE.

Calculated values
Energy above the most stable polymorph in this dataset = 82 meV per atom
Volume = 242.5 Å³/cell
DOS(E_F) = 0.373 states/eV per atom
Crystal system = orthorhombic

a = 4.064 Å, b = 7.731 Å, c = 8.868 Å
α = 115.84°, β = 103.25°, γ = 90.00°
Atoms (fractional coordinates):
1 Na 0.000 0.500 0.000
2 Ac 0.860 0.860 0.720
3 Ac 0.140 0.140 0.280
4 Au 0.673 0.859 0.346
5 Au 0.327 0.141 0.654
6 Au 0.327 0.513 0.654
7 Au 0.500 0.193 0.000
8 Au 0.500 0.807 0.000
9 Au 0.673 0.487 0.346



3.
Mg2AlFe: optimized geometry, PBE.

Calculated values
Total DFT energy (no corrections) = -3.364 eV/atom
Volume = 147.7 Å³/cell
DOS(E_F) = 1.013 states/eV per atom
Crystal system = tetragonal

a = 7.481 Å, b = 7.481 Å, c = 5.911 Å
α = 50.74°, β = 50.74°, γ = 90.00°
Atoms (fractional coordinates):
1 Mg 0.653 0.125 0.250
2 Mg 0.097 0.625 0.250
3 Mg 0.375 0.347 0.750
4 Mg 0.875 0.903 0.750
5 Fe 0.000 0.000 0.000
6 Fe 0.750 0.250 0.500
7 Al 0.500 0.500 0.000
8 Al 0.250 0.750 0.500



4.
Si2TcTePd: optimized geometry, PBE.

Calculated values
Volume = 111.7 Å³/cell
DOS(E_F) = 0.938 states/eV per atom
Crystal system = tetragonal
ΔE_f (raw) = 0.523 eV/atom

a = 4.533 Å, b = 5.436 Å, c = 4.533 Å
α = 90.00°, β = 90.00°, γ = 90.00°
Atoms (fractional coordinates):
1 Si 0.000 0.000 0.500
2 Si 0.500 0.000 0.000
3 Te 0.000 0.500 0.000
4 Tc 0.000 0.000 0.000
5 Pd 0.500 0.500 0.500



5.
V6BC: optimized geometry, PBE.

Calculated values
Total DFT energy (no corrections) = -8.977 eV/atom
Volume = 96.7 Å³/cell
DOS(E_F) = 1.036 states/eV per atom
Crystal system = triclinic

a = 4.694 Å, b = 4.882 Å, c = 5.140 Å
α = 70.14°, β = 70.91°, γ = 63.08°
Atoms (fractional coordinates):
1 V 0.093 0.392 0.755
2 V 0.773 0.051 0.714
3 V 0.564 0.267 0.203
4 V 0.227 0.949 0.286
5 V 0.907 0.608 0.245
6 V 0.436 0.733 0.797
7 B 0.500 0.500 0.500
8 C 0.000 0.000 0.000



6.
Pm2Tm3Te8: optimized geometry, PBE.

Calculated values
Volume = 477.0 Å³/cell
DOS(E_F) = 0.463 states/eV per atom
Crystal system = monoclinic
ΔE_f (raw) = -1.264 eV/atom

a = 7.508 Å, b = 8.697 Å, c = 8.847 Å
α = 119.44°, β = 106.06°, γ = 90.00°
Atoms (fractional coordinates):
1 Pm 0.330 0.252 0.503
2 Pm 0.670 0.748 0.497
3 Tm 0.500 0.000 0.000
4 Tm 0.000 0.257 0.000
5 Tm 0.000 0.743 0.000
6 Te 0.912 0.618 0.235
7 Te 0.088 0.382 0.765
8 Te 0.911 0.117 0.234
9 Te 0.089 0.883 0.766
10 Te 0.590 0.635 0.765
11 Te 0.590 0.130 0.765
12 Te 0.410 0.870 0.235
13 Te 0.410 0.365 0.235



7.
Cs2InSb2: optimized geometry, PBE.

Calculated values
Energy above the most stable polymorph in this dataset = 0 meV per atom
Volume = 436.7 Å³/cell
DOS(E_F) = 0.319 states/eV per atom
Crystal system = monoclinic
ΔE_f (raw) = -0.367 eV/atom

a = 5.163 Å, b = 8.255 Å, c = 11.154 Å
α = 91.59°, β = 76.62°, γ = 71.78°
Atoms (fractional coordinates):
1 Cs 0.654 0.358 0.334
2 Cs 0.914 0.263 0.909
3 Cs 0.346 0.642 0.666
4 Cs 0.086 0.737 0.091
5 In 0.656 0.046 0.642
6 In 0.344 0.954 0.358
7 Sb 0.104 0.220 0.573
8 Sb 0.615 0.888 0.882
9 Sb 0.896 0.780 0.427
10 Sb 0.385 0.112 0.118



8.
SnIrSe4: optimized geometry, PBE.

Calculated values
Volume = 294.1 Å³/cell
DOS(E_F) = 0.748 states/eV per atom
Crystal system = monoclinic
ΔE_f (raw) = -0.319 eV/atom

a = 3.762 Å, b = 6.760 Å, c = 11.810 Å
α = 101.81°, β = 90.00°, γ = 90.00°
Atoms (fractional coordinates):
1 Sn 0.000 0.500 0.500
2 Sn 0.500 0.500 0.000
3 Ir 0.500 0.000 0.500
4 Ir 0.000 0.000 0.000
5 Se 0.500 0.658 0.371
6 Se 0.000 0.342 0.129
7 Se 0.500 0.342 0.629
8 Se 0.000 0.658 0.871
9 Se 0.000 0.106 0.383
10 Se 0.500 0.894 0.117
11 Se 0.000 0.894 0.617
12 Se 0.500 0.106 0.883



9.
Ta2SbMo: optimized geometry, PBE.

Calculated values
Volume = 72.4 Å³/cell
DOS(E_F) = 0.934 states/eV per atom
Crystal system = orthorhombic
ΔE_f (raw) = 0.088 eV/atom

a = 3.592 Å, b = 4.465 Å, c = 4.516 Å
α = 90.00°, β = 90.00°, γ = 90.00°
Atoms (fractional coordinates):
1 Mo 0.500 0.000 0.500
2 Sb 0.000 0.500 0.500
3 Ta 0.000 0.000 0.000
4 Ta 0.500 0.500 0.000



10.
Ca2Mg6GaHg: optimized geometry, PBE.

Calculated values
Total DFT energy (no corrections) = -1.771 eV/atom
Volume = 540.8 Å³/cell
DOS(E_F) = 0.531 states/eV per atom
Crystal system = orthorhombic

a = 8.120 Å, b = 6.829 Å, c = 9.754 Å
α = 90.00°, β = 90.00°, γ = 90.00°
Atoms (fractional coordinates):
1 Ca 0.500 0.757 0.244
2 Ca 0.000 0.243 0.744
3 Ca 0.500 0.757 0.756
4 Ca 0.000 0.243 0.256
5 Mg 0.500 0.263 0.248
6 Mg 0.500 0.263 0.752
7 Mg 0.000 0.737 0.252
8 Mg 0.000 0.737 0.748
9 Mg 0.185 0.920 0.500
10 Mg 0.815 0.920 0.500
11 Mg 0.315 0.446 0.500
12 Mg 0.685 0.446 0.500
13 Mg 0.815 0.554 0.000
14 Mg 0.185 0.554 0.000
15 Mg 0.315 0.080 0.000
16 Mg 0.685 0.080 0.000
17 Ga 0.000 0.546 0.500
18 Ga 0.500 0.454 0.000
19 Hg 0.500 0.061 0.500
20 Hg 0.000 0.939 0.000



11.
Ta2SbAu: optimized geometry, PBE.

Calculated values
Volume = 76.5 Å³/cell
DOS(E_F) = 0.635 states/eV per atom
Crystal system = monoclinic
ΔE_f (raw) = 0.141 eV/atom

a = 5.329 Å, b = 5.329 Å, c = 4.932 Å
α = 69.08°, β = 69.08°, γ = 36.09°
Atoms (fractional coordinates):
1 Au 0.504 0.504 0.453
2 Sb 0.748 0.748 0.789
3 Ta 0.994 0.994 0.975
4 Ta 0.253 0.253 0.283